Record 1
{
  "formula": "SbTe2Mo",
  "functional": "GGA-PBEsol",
  "state": "optimized geometry",
  "e_tot_ev_per_atom": -5.13,
  "magmom_total_mub_per_fu": 0.00,
  "space_group": "R-3m",
  "lattice_angstrom": [[1.537, 0.887, 12.200], [-1.537, 0.887, 12.200], [0.000, -1.775, 12.200]],
  "species": ["Sb", "Te", "Te", "Mo"],
  "fractional_positions": [[0.000, 0.000, 0.000], [0.426, 0.426, 0.426], [0.574, 0.574, 0.574], [0.500, 0.500, 0.500]]
}

=====

Record 2
{
  "formula": "SbTe2Mo",
  "functional": "GGA-PBEsol",
  "state": "optimized geometry",
  "e_tot_ev_per_atom": -5.82,
  "magmom_total_mub_per_fu": 0.00,
  "space_group": "Amm2",
  "lattice_angstrom": [[3.353, 0.000, 0.000], [0.000, 2.692, 5.412], [0.000, -2.692, 5.412]],
  "species": ["Sb", "Te", "Te", "Mo"],
  "fractional_positions": [[0.000, 0.000, 0.000], [0.000, 0.608, 0.608], [0.500, 0.295, 0.295], [0.500, 0.798, 0.798]]
}

=====

Record 3
{
  "formula": "Sb2TeMo",
  "functional": "GGA-PBEsol",
  "state": "optimized geometry",
  "e_tot_ev_per_atom": -5.87,
  "magmom_total_mub_per_fu": 0.00,
  "space_group": "Imm2",
  "lattice_angstrom": [[-1.658, 2.222, 6.686], [1.658, -2.222, 6.686], [1.658, 2.222, -6.686]],
  "species": ["Sb", "Sb", "Te", "Mo"],
  "fractional_positions": [[0.000, 0.000, 0.000], [0.649, 0.149, 0.500], [0.303, 0.803, 0.500], [0.463, 0.463, 0.000]]
}

=====

Record 4
{
  "formula": "SbTe2Mo",
  "functional": "GGA-PBEsol",
  "state": "optimized geometry",
  "e_tot_ev_per_atom": -5.19,
  "magmom_total_mub_per_fu": 0.00,
  "space_group": "I-42d",
  "lattice_angstrom": [[-3.440, 3.440, 5.455], [3.440, -3.440, 5.455], [3.440, 3.440, -5.455]],
  "species": ["Sb", "Sb", "Te", "Te", "Te", "Te", "Mo", "Mo"],
  "fractional_positions": [[0.000, 0.000, 0.000], [0.750, 0.250, 0.500], [0.180, 0.625, 0.055], [0.375, 0.430, 0.555], [0.570, 0.125, 0.945], [0.875, 0.820, 0.445], [0.250, 0.750, 0.500], [0.500, 0.500, 0.000]]
}

=====

Record 5
{
  "formula": "SbTe2Mo",
  "functional": "GGA-PBEsol",
  "state": "optimized geometry",
  "e_tot_ev_per_atom": -5.66,
  "magmom_total_mub_per_fu": 0.00,
  "space_group": "Immm",
  "lattice_angstrom": [[-1.652, 2.292, 6.539], [1.652, -2.292, 6.539], [1.652, 2.292, -6.539]],
  "species": ["Sb", "Te", "Te", "Mo"],
  "fractional_positions": [[0.000, 0.000, 0.000], [0.327, 0.827, 0.500], [0.673, 0.173, 0.500], [0.500, 0.500, 0.000]]
}

=====

Record 6
{
  "formula": "Sb2TeMoW",
  "functional": "GGA-PBEsol",
  "state": "optimized geometry",
  "e_tot_ev_per_atom": -6.19,
  "magmom_total_mub_per_fu": 4.29,
  "space_group": "P4/mmm",
  "lattice_angstrom": [[5.181, 0.000, 0.000], [0.000, 5.181, 0.000], [0.000, 0.000, 5.203]],
  "species": ["Sb", "Sb", "Te", "Mo", "W"],
  "fractional_positions": [[0.000, 0.500, 0.000], [0.500, 0.000, 0.000], [0.000, 0.000, 0.500], [0.500, 0.500, 0.500], [0.000, 0.000, 0.000]]
}

=====

Record 7
{
  "formula": "TlSbMo2",
  "functional": "GGA-PBEsol",
  "state": "optimized geometry",
  "magmom_total_mub_per_fu": 0.00,
  "de_polymorph_kj_per_mol_fu": 4,
  "space_group": "Cmm2",
  "lattice_angstrom": [[1.653, -2.459, 0.000], [1.653, 2.459, 0.000], [0.000, 0.000, 10.159]],
  "species": ["Tl", "Sb", "Mo", "Mo"],
  "fractional_positions": [[0.000, 0.000, 0.000], [0.500, 0.500, 0.671], [0.000, 0.000, 0.439], [0.500, 0.500, 0.252]]
}

=====

Record 8
{
  "formula": "Tl4SbMo",
  "functional": "GGA-PBEsol",
  "state": "optimized geometry",
  "e_tot_ev_per_atom": -3.59,
  "magmom_total_mub_per_fu": 3.69,
  "space_group": "F-43m",
  "lattice_angstrom": [[0.000, 4.318, 4.318], [4.318, 0.000, 4.318], [4.318, 4.318, 0.000]],
  "species": ["Tl", "Tl", "Tl", "Tl", "Sb", "Mo"],
  "fractional_positions": [[0.125, 0.125, 0.125], [0.125, 0.125, 0.624], [0.125, 0.624, 0.125], [0.624, 0.125, 0.125], [0.750, 0.750, 0.750], [0.500, 0.500, 0.500]]
}

=====

Record 9
{
  "formula": "TlSbMo2",
  "functional": "GGA-PBEsol",
  "state": "optimized geometry",
  "magmom_total_mub_per_fu": 0.00,
  "de_polymorph_kj_per_mol_fu": 0,
  "space_group": "Amm2",
  "lattice_angstrom": [[4.393, 0.000, 0.000], [0.000, 1.706, 5.148], [0.000, -1.706, 5.148]],
  "species": ["Tl", "Sb", "Mo", "Mo"],
  "fractional_positions": [[0.000, 0.000, 0.000], [0.500, 0.693, 0.693], [0.000, 0.275, 0.275], [0.500, 0.410, 0.410]]
}

=====

Record 10
{
  "formula": "TlSbMo2",
  "functional": "GGA-PBEsol",
  "state": "optimized geometry",
  "magmom_total_mub_per_fu": 0.00,
  "de_polymorph_kj_per_mol_fu": 123,
  "space_group": "F-43m",
  "lattice_angstrom": [[0.000, 3.357, 3.357], [3.357, 0.000, 3.357], [3.357, 3.357, 0.000]],
  "species": ["Tl", "Sb", "Mo", "Mo"],
  "fractional_positions": [[0.000, 0.000, 0.000], [0.250, 0.250, 0.250], [0.500, 0.500, 0.500], [0.750, 0.750, 0.750]]
}

=====

Record 11
{
  "formula": "SbMoW2",
  "functional": "GGA-PBEsol",
  "state": "optimized geometry",
  "e_tot_ev_per_atom": -10.49,
  "magmom_total_mub_per_fu": 0.00,
  "space_group": "Cmm2",
  "lattice_angstrom": [[1.646, -2.348, 0.000], [1.646, 2.348, 0.000], [0.000, 0.000, 8.823]],
  "species": ["Sb", "Mo", "W", "W"],
  "fractional_positions": [[0.000, 0.000, 0.000], [0.500, 0.500, 0.738], [0.000, 0.000, 0.502], [0.500, 0.500, 0.265]]
}

=====

Record 12
{
  "formula": "SbMoW",
  "functional": "GGA-PBEsol",
  "state": "optimized geometry",
  "e_tot_ev_per_atom": -9.66,
  "magmom_total_mub_per_fu": 0.00,
  "space_group": "I4mm",
  "lattice_angstrom": [[-1.648, 1.648, 4.635], [1.648, -1.648, 4.635], [1.648, 1.648, -4.635]],
  "species": ["Sb", "Mo", "W"],
  "fractional_positions": [[0.000, 0.000, 0.000], [0.330, 0.330, 0.000], [0.672, 0.672, 0.000]]
}